The following is a DFT calculation (PBE) of crystalline CaEuYMg at its relaxed geometry.

```
CaEuYMg
1.0
5.725 0.000 0.000
2.863 4.958 0.000
2.863 1.653 4.675
Eu Y Mg Ca
1 1 1 1
direct
0.000 0.000 0.000
0.250 0.250 0.250
0.500 0.500 0.500
0.750 0.750 0.750
```

Properties
E_form (meV per atom): 76
SG: F-43m

The following is a DFT calculation (PBE) of crystalline Nd2ThAl6 at its relaxed geometry.

```
Nd2ThAl6
1.0
-1.982 -2.455 2.218
0.425 -5.465 -5.669
5.634 0.421 5.501
Al Th Nd
6 1 2
direct
0.500 0.667 0.000
0.500 0.333 0.000
0.500 0.000 0.333
0.500 0.333 0.333
0.500 0.000 0.667
0.500 0.667 0.667
0.000 0.000 0.000
0.000 0.667 0.333
0.000 0.333 0.667
```

Properties
E_form (meV per atom): -466
SG: P6/mmm

The following is a DFT calculation (PBE) of crystalline Ce3PuIr2 at its relaxed geometry.

```
Ce3PuIr2
1.0
-5.335 -3.504 2.700
0.392 -4.688 -5.308
6.723 0.389 4.892
Pu Ce Ir
2 6 4
direct
0.000 0.000 0.000
0.000 0.500 0.000
0.773 0.523 0.547
0.773 0.023 0.547
0.227 0.477 0.453
0.500 0.750 0.000
0.500 0.250 0.000
0.227 0.977 0.453
0.160 0.863 0.726
0.435 0.637 0.274
0.565 0.363 0.726
0.840 0.137 0.274
```

Properties
E_form (meV per atom): -408
SG: Ibam

The following is a DFT calculation (PBE) of crystalline Ca3Pa3CrN8 at its relaxed geometry.

```
Ca3Pa3CrN8
1.0
-1.559 -4.630 4.844
6.002 -0.403 -3.339
-1.078 5.105 4.532
Ca N Pa Cr
3 8 3 1
direct
0.000 0.000 0.000
0.000 0.500 0.000
0.500 0.500 0.000
0.258 0.515 0.273
0.226 0.968 0.694
0.742 0.968 0.694
0.226 0.452 0.694
0.258 0.032 0.306
0.774 0.032 0.306
0.774 0.548 0.306
0.742 0.485 0.727
0.500 0.500 0.500
0.500 0.000 0.500
0.000 0.500 0.500
0.000 0.000 0.500
```

Properties
Raw formation energy (meV per atom): -1230.3
SG: R-3m

The following is a DFT calculation (PBE) of crystalline Sr2ZrRu at its relaxed geometry.

```
Sr2ZrRu
1.0
10.967 -0.025 -0.014
10.432 3.383 -0.014
10.432 1.637 2.961
Sr Ru Zr
2 1 1
direct
0.485 0.485 0.485
0.015 0.015 0.015
0.750 0.750 0.750
0.250 0.250 0.250
```

Properties
E_form (meV per atom): 774
SG: R-3m

The following is a DFT calculation (PBE) of crystalline Li2OsW at its relaxed geometry.

```
Li2OsW
1.0
-1.162 3.512 2.124
-0.789 -2.359 3.465
3.824 -0.186 -1.881
Os Li W
1 2 1
direct
0.500 0.500 0.000
0.000 0.000 0.000
0.750 0.250 0.500
0.250 0.750 0.500
```

Properties
E_form (meV per atom): 221
SG: F-43m

The following is a DFT calculation (PBE) of crystalline NdGdAu at its relaxed geometry.

```
NdGdAu
1.0
-1.591 4.535 1.640
-4.744 0.555 1.725
-0.828 0.762 4.952
Gd Nd Au
1 1 1
direct
0.500 0.500 0.500
0.000 0.000 0.000
0.250 0.250 0.250
```

Properties
E_form (meV per atom): -404
SG: F-43m

The following is a DFT calculation (PBE) of crystalline PrGeB at its relaxed geometry.

```
PrGeB
1.0
-0.175 0.211 3.255
5.109 -2.879 -1.178
7.996 3.100 0.228
Ge Pr B
2 2 2
direct
0.339 0.679 0.154
0.661 0.321 0.846
0.035 0.070 0.227
0.965 0.930 0.773
0.730 0.461 0.547
0.270 0.539 0.453
```

Properties
E_form (meV per atom): -204
SG: C2/m

The following is a DFT calculation (PBE) of crystalline YMo2 at its relaxed geometry.

```
YMo2
1.0
1.695 -7.209 0.000
1.695 7.209 0.000
0.000 0.000 4.957
Mo Y
4 2
direct
0.244 0.756 0.250
0.756 0.244 0.750
0.382 0.618 0.750
0.618 0.382 0.250
0.921 0.079 0.250
0.079 0.921 0.750
```

Properties
E_form (meV per atom): 233
SG: Cmcm

The following is a DFT calculation (PBE) of crystalline Ce4NdAu5 at its relaxed geometry.

```
Ce4NdAu5
1.0
-3.349 1.474 -0.226
-0.345 -1.307 -3.408
-7.449 -15.872 6.843
Ce Au Nd
4 5 1
direct
0.000 0.000 0.799
0.000 0.000 0.599
0.000 0.000 0.401
0.000 0.000 0.201
0.500 0.500 0.500
0.500 0.500 0.300
0.500 0.500 0.700
0.500 0.500 0.900
0.500 0.500 0.100
0.000 0.000 0.000
```

Properties
E_form (meV per atom): -625
SG: P4/mmm

The following is a DFT calculation (PBE) of crystalline Re2PRh at its relaxed geometry.

```
Re2PRh
1.0
2.835 0.000 0.000
0.000 3.871 0.000
0.000 0.000 5.253
P Re Rh
1 2 1
direct
0.500 0.500 0.728
0.500 0.500 0.224
0.000 0.000 0.019
0.000 0.000 0.529
```

Properties
E_form (meV per atom): 120
SG: Pmm2

The following is a DFT calculation (PBE) of crystalline CeSiTc4 at its relaxed geometry.

```
CeSiTc4
1.0
3.224 0.000 0.000
0.000 7.431 0.000
0.000 0.000 8.258
Tc Ce Si
8 2 2
direct
0.500 0.702 0.455
0.500 0.298 0.955
0.000 0.000 0.500
0.500 0.702 0.045
0.500 0.298 0.545
0.000 0.000 0.000
0.500 0.948 0.750
0.500 0.052 0.250
0.000 0.608 0.750
0.000 0.392 0.250
0.000 0.790 0.250
0.000 0.210 0.750
```

Properties
Raw formation energy (meV per atom): -120.1
SG: Pmma